A plane-wave DFT calculation with PBE was carried out for an optimized crystal structure of RhSO3.

The space group is Pm-3m (No. 221) and the conventional cell measures 3.8471, 3.8471 and 3.8471 Å, with angles of 90.00, 90.00 and 90.00 degrees. Symmetry generates all atoms from Rh at (0.0000, 0.0000, 0.0000), S at (0.5000, 0.5000, 0.5000) and O at (0.0000, 0.0000, 0.5000).

The value obtained for the theoretical density is 5.336 g cm⁻³. The total energy comes out at -4.939 eV per atom. For the magnetic moment, the calculation gives 0.00 Bohr magnetons per cell. The crystal system is cubic.